[1]
VASP calculation (PBE) on Ba4BiTeO after structural relaxation.

Cell: 10.344 10.344 7.407 Å, 90.00 90.00 137.63°
Fractional positions:
Ba 0.000 0.500 0.000
Ba 0.000 0.500 0.500
Ba 0.068 0.932 0.750
Ba 0.415 0.585 0.750
Ba 0.500 0.000 0.000
Ba 0.500 0.000 0.500
Ba 0.585 0.415 0.250
Ba 0.932 0.068 0.250
Bi 0.113 0.887 0.250
Bi 0.887 0.113 0.750
Te 0.386 0.614 0.250
Te 0.614 0.386 0.750
O 0.281 0.719 0.750
O 0.719 0.281 0.250

* DFT total energy: -60.5 eV per cell
* ρ: 5.608 Mg/m³
* magnetic moment: 0.005 μB per cell
* formation energy without anion corrections: -1513 meV per atom
* space-group type: Cmcm


[2]
VASP calculation (PBE) on Ba3BiTe2O9 after structural relaxation.

Cell: 6.179 6.179 7.577 Å, 90.00 90.00 120.00°
Fractional positions:
Ba 0.000 0.000 0.000
Ba 0.333 0.667 0.677
Ba 0.667 0.333 0.323
Bi 0.000 0.000 0.500
Te 0.333 0.667 0.167
Te 0.667 0.333 0.833
O 0.000 0.500 0.000
O 0.177 0.353 0.323
O 0.177 0.823 0.323
O 0.353 0.177 0.677
O 0.500 0.000 0.000
O 0.500 0.500 0.000
O 0.647 0.823 0.323
O 0.823 0.177 0.677
O 0.823 0.647 0.677

* DFT total energy: -88.0 eV per cell
* ρ: 6.761 Mg/m³
* magnetic moment: 0.000 μB per cell
* formation energy without anion corrections: -1828 meV per atom
* space-group type: P-3m1


[3]
VASP calculation (PBE) on BaTi4Bi4O15 after structural relaxation.

Cell: 20.641 20.641 20.641 Å, 169.17 169.17 15.34°
Fractional positions:
Ba 0.000 0.000 0.000
Ti 0.348 0.348 0.000
Ti 0.449 0.449 0.000
Ti 0.551 0.551 0.000
Ti 0.652 0.652 0.000
Bi 0.104 0.104 0.000
Bi 0.219 0.219 0.000
Bi 0.781 0.781 0.000
Bi 0.896 0.896 0.000
O 0.051 0.551 0.500
O 0.142 0.642 0.500
O 0.250 0.750 0.500
O 0.304 0.304 0.000
O 0.358 0.858 0.500
O 0.402 0.402 0.000
O 0.449 0.949 0.500
O 0.500 0.500 0.000
O 0.551 0.051 0.500
O 0.598 0.598 0.000
O 0.642 0.142 0.500
O 0.696 0.696 0.000
O 0.750 0.250 0.500
O 0.858 0.358 0.500
O 0.949 0.449 0.500

* DFT total energy: -177.4 eV per cell
* ρ: 7.509 Mg/m³
* magnetic moment: 0.000 μB per cell
* formation energy without anion corrections: -2251 meV per atom
* space-group type: I4/mmm


[4]
VASP calculation (PBE) on BaTi2Bi2O7 after structural relaxation.

Cell: 10.465 10.465 10.465 Å, 157.73 38.39 149.13°
Fractional positions:
Ba 0.000 0.000 0.000
Ti 0.414 0.001 0.414
Ti 0.587 0.001 0.586
Bi 0.266 0.484 0.782
Bi 0.702 0.484 0.218
O 0.193 0.872 0.322
O 0.348 0.450 0.898
O 0.348 0.848 0.500
O 0.550 0.872 0.678
O 0.552 0.450 0.102
O 0.733 0.311 0.422
O 0.889 0.311 0.578

* DFT total energy: -86.6 eV per cell
* ρ: 5.695 Mg/m³
* magnetic moment: 0.000 μB per cell
* formation energy without anion corrections: -2201 meV per atom
* space-group type: Imm2


[5]
VASP calculation (PBE) on Ba2Ti5Bi4O18 after structural relaxation.

Cell: 24.552 24.552 24.552 Å, 170.82 170.82 12.99°
Fractional positions:
Ba 0.042 0.042 0.000
Ba 0.958 0.958 0.000
Ti 0.332 0.332 0.000
Ti 0.415 0.415 0.000
Ti 0.500 0.500 0.000
Ti 0.585 0.585 0.000
Ti 0.668 0.668 0.000
Bi 0.128 0.128 0.000
Bi 0.224 0.224 0.000
Bi 0.776 0.776 0.000
Bi 0.872 0.872 0.000
O 0.000 0.500 0.500
O 0.085 0.585 0.500
O 0.161 0.661 0.500
O 0.250 0.750 0.500
O 0.295 0.295 0.000
O 0.339 0.839 0.500
O 0.376 0.376 0.000
O 0.415 0.915 0.500
O 0.458 0.458 0.000
O 0.500 0.000 0.500
O 0.542 0.542 0.000
O 0.585 0.085 0.500
O 0.624 0.624 0.000
O 0.661 0.161 0.500
O 0.705 0.705 0.000
O 0.750 0.250 0.500
O 0.839 0.339 0.500
O 0.915 0.415 0.500

* DFT total energy: -217.3 eV per cell
* ρ: 7.226 Mg/m³
* magnetic moment: 0.000 μB per cell
* formation energy without anion corrections: -2386 meV per atom
* space-group type: I4/mmm


[6]
VASP calculation (PBE) on Ba3Ti2BiO9 after structural relaxation.

Cell: 5.880 5.880 7.248 Å, 90.00 90.00 120.00°
Fractional positions:
Ba 0.000 0.000 0.000
Ba 0.333 0.667 0.676
Ba 0.667 0.333 0.324
Ti 0.333 0.667 0.157
Ti 0.667 0.333 0.843
Bi 0.000 0.000 0.500
O 0.000 0.500 0.000
O 0.176 0.353 0.316
O 0.176 0.824 0.316
O 0.353 0.176 0.684
O 0.500 0.000 0.000
O 0.500 0.500 0.000
O 0.647 0.824 0.316
O 0.824 0.176 0.684
O 0.824 0.647 0.684

* DFT total energy: -109.0 eV per cell
* ρ: 6.586 Mg/m³
* magnetic moment: 0.000 μB per cell
* formation energy without anion corrections: -2595 meV per atom
* space-group type: P-3m1


[7]
VASP calculation (PBE) on Ba3TlBi2O9 after structural relaxation.

Cell: 6.195 6.195 7.596 Å, 90.00 90.00 120.00°
Fractional positions:
Ba 0.000 0.000 0.000
Ba 0.333 0.667 0.660
Ba 0.667 0.333 0.340
Tl 0.000 0.000 0.500
Bi 0.333 0.667 0.168
Bi 0.667 0.333 0.832
O 0.000 0.500 0.000
O 0.169 0.339 0.328
O 0.169 0.831 0.328
O 0.339 0.169 0.672
O 0.500 0.000 0.000
O 0.500 0.500 0.000
O 0.661 0.831 0.328
O 0.831 0.169 0.672
O 0.831 0.661 0.672

* DFT total energy: -85.9 eV per cell
* ρ: 7.751 Mg/m³
* magnetic moment: 0.000 μB per cell
* formation energy without anion corrections: -1694 meV per atom
* space-group type: P-3m1


[8]
VASP calculation (PBE) on Ba7TlBi2O2 after structural relaxation.

Cell: 15.511 15.511 15.511 Å, 159.82 159.82 28.69°
Fractional positions:
Ba 0.000 0.000 0.000
Ba 0.096 0.596 0.500
Ba 0.200 0.200 0.000
Ba 0.404 0.904 0.500
Ba 0.596 0.096 0.500
Ba 0.800 0.800 0.000
Ba 0.904 0.404 0.500
Tl 0.500 0.500 0.000
Bi 0.319 0.319 0.000
Bi 0.681 0.681 0.000
O 0.096 0.096 0.000
O 0.904 0.904 0.000

* DFT total energy: -49.2 eV per cell
* ρ: 6.042 Mg/m³
* magnetic moment: 0.640 μB per cell
* formation energy without anion corrections: -1306 meV per atom
* space-group type: I4/mmm


[9]
VASP calculation (PBE) on BaTlBi2O after structural relaxation.

Cell: 5.100 5.100 5.478 Å, 90.00 90.00 90.00°
Fractional positions:
Ba 0.000 0.000 0.000
Tl 0.500 0.500 0.000
Bi 0.000 0.500 0.500
Bi 0.500 0.000 0.500
O 0.500 0.500 0.500

* DFT total energy: -19.7 eV per cell
* ρ: 9.040 Mg/m³
* magnetic moment: 0.000 μB per cell
* formation energy without anion corrections: -543 meV per atom
* space-group type: P4/mmm


[10]
VASP calculation (PBE) on Ba4TlBi3O12 after structural relaxation.

Cell: 7.610 7.610 7.610 Å, 109.47 109.47 109.47°
Fractional positions:
Ba 0.000 0.000 0.500
Ba 0.000 0.500 0.000
Ba 0.500 0.000 0.000
Ba 0.500 0.500 0.500
Tl 0.000 0.000 0.000
Bi 0.000 0.500 0.500
Bi 0.500 0.000 0.500
Bi 0.500 0.500 0.000
O 0.000 0.255 0.255
O 0.000 0.745 0.745
O 0.250 0.500 0.750
O 0.250 0.750 0.500
O 0.255 0.000 0.255
O 0.255 0.255 0.000
O 0.500 0.250 0.750
O 0.500 0.750 0.250
O 0.745 0.000 0.745
O 0.745 0.745 0.000
O 0.750 0.250 0.500
O 0.750 0.500 0.250

* DFT total energy: -115.6 eV per cell
* ρ: 7.696 Mg/m³
* magnetic moment: 0.000 μB per cell
* formation energy without anion corrections: -1722 meV per atom
* space-group type: Im-3m


[11]
VASP calculation (PBE) on BaTlBiO4 after structural relaxation.

Cell: 6.995 6.436 7.562 Å, 90.00 114.28 90.00°
Fractional positions:
Ba 0.246 0.250 0.006
Ba 0.754 0.750 0.994
Tl 0.310 0.750 0.314
Tl 0.690 0.250 0.686
Bi 0.169 0.250 0.454
Bi 0.831 0.750 0.546
O 0.069 0.505 0.238
O 0.069 0.995 0.238
O 0.440 0.250 0.781
O 0.441 0.250 0.393
O 0.559 0.750 0.607
O 0.560 0.750 0.219
O 0.931 0.005 0.762
O 0.931 0.495 0.762

* DFT total energy: -75.3 eV per cell
* ρ: 6.578 Mg/m³
* magnetic moment: 0.000 μB per cell
* formation energy without anion corrections: -1378 meV per atom
* space-group type: P2_1/m


[12]
VASP calculation (PBE) on Ba2TlBiO5 after structural relaxation.

Cell: 8.118 8.118 11.174 Å, 90.00 90.00 152.77°
Fractional positions:
Ba 0.114 0.886 0.500
Ba 0.137 0.863 0.106
Ba 0.863 0.137 0.606
Ba 0.886 0.114 0.000
Tl 0.225 0.775 0.831
Tl 0.775 0.225 0.331
Bi 0.458 0.542 0.275
Bi 0.542 0.458 0.775
O 0.085 0.915 0.863
O 0.277 0.723 0.470
O 0.330 0.670 0.197
O 0.360 0.640 0.801
O 0.498 0.502 0.086
O 0.502 0.498 0.586
O 0.640 0.360 0.301
O 0.670 0.330 0.697
O 0.723 0.277 0.970
O 0.915 0.085 0.363

* DFT total energy: -99.7 eV per cell
* ρ: 7.570 Mg/m³
* magnetic moment: 0.000 μB per cell
* formation energy without anion corrections: -1662 meV per atom
* space-group type: Cmc2_1